Here is a geometry-optimized TaNi2As structure from Alexandria. Energies are from GGA-PBEsol. Values from VASP.

Calculated values
Calculated volume, Å³ per cell: 53
Magnetic moment, μB/f.u.: 0.00
Calculated density, g cm⁻³: 11.68
Formation energy from the elements, kJ/mol of atoms: -16.00

Quantum ESPRESSO input file:
```
&SYSTEM
  ibrav = 0, nat = 4, ntyp = 3
/
ATOMIC_SPECIES
Ta 180.95 Ta.upf
Ni 58.69 Ni.upf
As 74.92 As.upf
ATOMIC_POSITIONS angstrom
Ta 0.0000 0.0000 0.0000
Ni 0.0000 0.0000 2.9981
Ni 1.4085 1.6531 4.2778
As 1.4085 1.6531 1.8324
CELL_PARAMETERS angstrom
2.8169 0.0000 0.0000
0.0000 3.3062 0.0000
0.0000 0.0000 5.6974
```